The following is a PBE with a Hubbard U calculation of crystalline FeGeF2 at its relaxed geometry, from the Alexandria database.

Results
Polymorph energy (0 for the lowest one), eV per atom: 0.0000
D(E_F), states/eV per atom: 0.39
E, eV per atom: -4.7724

Lattice parameters (Å, degrees): 2.992 2.992 26.859 90.00 90.00 120.00
Element x y z (fractional)
Fe  0.000  0.000  0.000
Fe  0.333  0.667  0.667
Fe  0.667  0.333  0.333
Ge  0.000  0.000  0.500
Ge  0.333  0.667  0.167
Ge  0.667  0.333  0.833
F  0.000  0.000  0.377
F  0.000  0.000  0.623
F  0.333  0.667  0.043
F  0.333  0.667  0.290
F  0.667  0.333  0.710
F  0.667  0.333  0.957


The following is a PBE with a Hubbard U calculation of crystalline Li3MgNiO4 at its relaxed geometry, from the Alexandria database.

Results
E, eV per atom: -5.0196

Lattice parameters (Å, degrees): 10.222 10.222 10.222 119.80 119.80 90.35
Element x y z (fractional)
Li  0.013  0.423  0.568
Li  0.055  0.487  0.911
Li  0.077  0.145  0.589
Li  0.151  0.055  0.089
Li  0.187  0.103  0.413
Li  0.190  0.773  0.087
Li  0.273  0.687  0.583
Li  0.355  0.445  0.932
Li  0.397  0.310  0.083
Li  0.439  0.349  0.405
Li  0.445  0.034  0.095
Li  0.466  0.061  0.411
Li  0.534  0.939  0.589
Li  0.555  0.966  0.905
Li  0.561  0.651  0.595
Li  0.603  0.690  0.917
Li  0.645  0.555  0.068
Li  0.727  0.313  0.417
Li  0.810  0.227  0.913
Li  0.813  0.897  0.587
Li  0.849  0.945  0.911
Li  0.923  0.855  0.411
Li  0.945  0.513  0.089
Li  0.987  0.577  0.432
Mg  0.093  0.207  0.927
Mg  0.220  0.833  0.427
Mg  0.293  0.720  0.886
Mg  0.333  0.407  0.614
Mg  0.667  0.593  0.386
Mg  0.707  0.280  0.114
Mg  0.780  0.167  0.573
Mg  0.907  0.793  0.073
Ni  0.072  0.319  0.265
Ni  0.181  0.946  0.753
Ni  0.307  0.572  0.253
Ni  0.446  0.193  0.765
Ni  0.554  0.807  0.235
Ni  0.693  0.428  0.747
Ni  0.819  0.054  0.247
Ni  0.928  0.681  0.735
O  0.012  0.033  0.672
O  0.016  0.844  0.984
O  0.089  0.601  0.814
O  0.101  0.787  0.512
O  0.139  0.660  0.172
O  0.160  0.488  0.521
O  0.225  0.411  0.012
O  0.230  0.236  0.342
O  0.264  0.106  0.994
O  0.287  0.275  0.686
O  0.344  0.860  0.828
O  0.360  0.032  0.516
O  0.388  0.730  0.494
O  0.394  0.888  0.158
O  0.467  0.639  0.979
O  0.468  0.484  0.328
O  0.532  0.516  0.672
O  0.533  0.361  0.021
O  0.606  0.112  0.842
O  0.612  0.270  0.506
O  0.640  0.968  0.484
O  0.656  0.140  0.172
O  0.713  0.725  0.314
O  0.736  0.894  0.006
O  0.770  0.764  0.658
O  0.775  0.589  0.988
O  0.840  0.512  0.479
O  0.861  0.340  0.828
O  0.899  0.213  0.488
O  0.911  0.399  0.186
O  0.984  0.156  0.016
O  0.988  0.967  0.328


What did the first record say?
The following is a PBE with a Hubbard U calculation of crystalline FeGeF2 at its relaxed geometry, from the Alexandria database.

Results
Polymorph energy (0 for the lowest one), eV per atom: 0.0000
D(E_F), states/eV per atom: 0.39
E, eV per atom: -4.7724

Lattice parameters (Å, degrees): 2.992 2.992 26.859 90.00 90.00 120.00
Element x y z (fractional)
Fe  0.000  0.000  0.000
Fe  0.333  0.667  0.667
Fe  0.667  0.333  0.333
Ge  0.000  0.000  0.500
Ge  0.333  0.667  0.167
Ge  0.667  0.333  0.833
F  0.000  0.000  0.377
F  0.000  0.000  0.623
F  0.333  0.667  0.043
F  0.333  0.667  0.290
F  0.667  0.333  0.710
F  0.667  0.333  0.957